First-principles (PBE with a Hubbard U) data for BaCaNdMnO6 after structural relaxation, as listed in the Alexandria database.

VASP energy ... -6.8382 eV/atom
N(E_F) ... 5.65 states/eV/f.u.

Lattice parameters (Å, degrees): 5.8047 5.8047 5.8047 60.00 60.00 60.00
Last column: magnetic moment on the atom in μB.
Element x y z (fractional)
Ba1 0.2500 0.2500 0.2500  0.00
Ca1 0.0000 0.0000 0.0000  -0.02
Nd1 0.7500 0.7500 0.7500  0.00
Mn1 0.5000 0.5000 0.5000  2.98
O1 0.2690 0.7310 0.2690  0.14
O2 0.7310 0.2690 0.7310  0.14
O3 0.2690 0.7310 0.7310  0.14
O4 0.7310 0.2690 0.2690  0.14
O5 0.2690 0.2690 0.7310  0.14
O6 0.7310 0.7310 0.2690  0.14